Entry 1:
First-principles (PBE) data for a relaxed ScCr2Pt crystal, as listed in the Alexandria database.

Cell: 5.1814 5.1814 4.1544 Å, 111.65 111.65 36.54°
Closest atoms and distances in Å follow each position.
Sites, in units of the cell vectors:
Sc 0.0000 0.0000 0.0000  4 Pt 2.64, 4 Cr 2.83
Cr 0.2472 0.2472 0.6931  2 Cr 2.30
Cr 0.7528 0.7528 0.3069  2 Cr 2.30
Pt 0.5000 0.5000 0.5000  4 Sc 2.64, 6 Cr 2.77-2.90

Calculated values
**ρ**: 9.3 g/cm3
**Raw total energy**: -7.961 eV per atom
**Volume**: 15.30 A^3/atom
**DOS(E_F)**: 4.4 states/eV per cell

Entry 2:
First-principles (PBE) data for a relaxed Y2BeSiN crystal, as listed in the Alexandria database.

Cell: 4.9944 4.9944 3.3225 Å, 90.00 90.00 90.00°
Closest atoms and distances in Å follow each position.
Sites, in units of the cell vectors:
Y 0.0000 0.5000 0.0000  2 N 2.50
Y 0.5000 0.0000 0.0000  2 N 2.50
Be 0.0000 0.0000 0.5000  2 N 1.66
Si 0.5000 0.5000 0.5000  8 Y 3.00, 2 Si 3.32
N 0.0000 0.0000 0.0000  2 Be 1.66

Calculated values
**ρ**: 4.6 g/cm3
**Raw total energy**: -6.901 eV per atom
**Volume**: 16.58 A^3/atom
**DOS(E_F)**: 1.9 states/eV per cell

Entry 3:
First-principles (PBE) data for a relaxed BeMoAs crystal, as listed in the Alexandria database.

Cell: 4.0380 4.0380 4.0380 Å, 60.00 60.00 60.00°
Closest atoms and distances in Å follow each position.
Sites, in units of the cell vectors:
Be 0.0000 0.0000 0.0000  4 As 2.47
Mo 0.5000 0.5000 0.5000  4 As 2.47
As 0.7500 0.7500 0.7500  4 Be 2.47, 4 Mo 2.47

Calculated values
**ρ**: 6.4 g/cm3
**Raw total energy**: -5.972 eV per atom
**Volume**: 15.52 A^3/atom
**DOS(E_F)**: 3.1 states/eV per cell
**E above lowest polymorph**: 48.9 kJ/mol of atoms

Entry 4:
First-principles (PBE) data for a relaxed InSb2Se crystal, as listed in the Alexandria database.

Cell: 6.1523 6.1523 6.1523 Å, 145.78 125.48 65.97°
Closest atoms and distances in Å follow each position.
Sites, in units of the cell vectors:
In 0.0000 0.0000 0.0000  4 Se 3.35, 8 Sb 3.36-3.65, 2 In 3.62
Sb 0.2745 0.7745 0.5000  2 Se 2.95
Sb 0.7255 0.2255 0.5000  2 Se 2.95
Se 0.5000 0.5000 0.0000  4 Sb 2.95

Calculated values
**ρ**: 6.9 g/cm3
**Raw total energy**: -3.560 eV per atom
**Volume**: 26.33 A^3/atom
**DOS(E_F)**: 1.9 states/eV per cell
**E above lowest polymorph**: 24.5 kJ/mol of atoms